Record 1
# La3AgIrCl (PBE, relaxed)
# formation energy (no corrections): -4.9 eV per formula unit
# DOS at the Fermi energy: 8.25 states/eV/cell
# total DFT energy (no corrections): -5.54 eV/atom
data_La3AgIrCl
_cell_length_a 8.550
_cell_length_b 4.373
_cell_length_c 9.702
_cell_angle_alpha 90.00
_cell_angle_beta 98.83
_cell_angle_gamma 90.00
_symmetry_space_group_name_H-M 'P 1 21/m 1'
_symmetry_Int_Tables_number 11
loop_
_symmetry_equiv_pos_as_xyz
'x,y,z'
'-x,-y,-z'
'-x,y+1/2,-z'
'x,-y+1/2,z'
loop_
_atom_site_label
_atom_site_type_symbol
_atom_site_fract_x
_atom_site_fract_y
_atom_site_fract_z
_atom_site_occupancy
La1 La 0.064 0.250 0.343 1
La2 La 0.213 0.250 0.947 1
La3 La 0.373 0.750 0.614 1
Ag1 Ag 0.299 0.750 0.244 1
Ir1 Ir 0.162 0.250 0.645 1
Cl1 Cl 0.425 0.750 0.904 1



Record 2
# La6AgIr2Cl3 (PBE, relaxed)
# formation energy (no corrections): -13.9 eV per formula unit
# DOS at the Fermi energy: 20.68 states/eV/cell
# total DFT energy (no corrections): -5.80 eV/atom
data_La6AgIr2Cl3
_cell_length_a 19.480
_cell_length_b 4.251
_cell_length_c 9.066
_cell_angle_alpha 90.00
_cell_angle_beta 108.16
_cell_angle_gamma 90.00
_symmetry_space_group_name_H-M 'C 1 2/m 1'
_symmetry_Int_Tables_number 12
loop_
_symmetry_equiv_pos_as_xyz
'x,y,z'
'-x,-y,-z'
'-x,y,-z'
'x,-y,z'
'x+1/2,y+1/2,z'
'-x+1/2,-y+1/2,-z'
'-x+1/2,y+1/2,-z'
'x+1/2,-y+1/2,z'
loop_
_atom_site_label
_atom_site_type_symbol
_atom_site_fract_x
_atom_site_fract_y
_atom_site_fract_z
_atom_site_occupancy
La1 La 0.015 0.000 0.253 1
La2 La 0.165 0.500 0.117 1
La3 La 0.180 0.500 0.559 1
Ag1 Ag 0.000 0.500 0.000 1
Ir1 Ir 0.166 0.000 0.332 1
Cl1 Cl 0.000 0.500 0.500 1
Cl2 Cl 0.167 0.000 0.838 1



Record 3
# LiAgIrCl6 (PBE, relaxed)
# formation energy (no corrections): -6.6 eV per formula unit
# DOS at the Fermi energy: 17.18 states/eV/cell
# total DFT energy (no corrections): -3.48 eV/atom
data_LiAgIrCl6
_cell_length_a 6.3190
_cell_length_b 6.3190
_cell_length_c 11.6062
_cell_angle_alpha 90.00
_cell_angle_beta 90.00
_cell_angle_gamma 120.00
_symmetry_space_group_name_H-M 'P -3 1 c'
_symmetry_Int_Tables_number 163
_symmetry_space_group_name_Hall '-P 3 2c'
loop_
_atom_site_label
_atom_site_type_symbol
_atom_site_fract_x
_atom_site_fract_y
_atom_site_fract_z
_atom_site_occupancy
Li1 Li 0.3333 0.6667 0.2500 1
Ag1 Ag 0.0000 0.0000 0.0000 1
Ir1 Ir 0.3333 0.6667 0.7500 1
Cl1 Cl 0.0224 0.3713 0.6331 1



Record 4
# LiAg2IrCl8 (PBE, relaxed)
# formation energy (no corrections): -7.7 eV per formula unit
# DOS at the Fermi energy: 12.16 states/eV/cell
# total DFT energy (no corrections): -3.25 eV/atom
data_LiAg2IrCl8
_cell_length_a 6.495
_cell_length_b 7.456
_cell_length_c 6.796
_cell_angle_alpha 90.00
_cell_angle_beta 115.01
_cell_angle_gamma 90.00
_symmetry_space_group_name_H-M 'P 1 2/m 1'
_symmetry_Int_Tables_number 10
loop_
_symmetry_equiv_pos_as_xyz
'x,y,z'
'-x,-y,-z'
'-x,y,-z'
'x,-y,z'
loop_
_atom_site_label
_atom_site_type_symbol
_atom_site_fract_x
_atom_site_fract_y
_atom_site_fract_z
_atom_site_occupancy
Li1 Li 0.000 0.000 0.000 1
Ag1 Ag 0.000 0.232 0.500 1
Ir1 Ir 0.000 0.500 0.000 1
Cl1 Cl 0.191 0.500 0.778 1
Cl2 Cl 0.227 0.000 0.777 1
Cl3 Cl 0.242 0.276 0.221 1